## Rb2Mn2S3O12 (PBE with a Hubbard U)

Data for Rb2Mn2S3O12 after structural relaxation.

Results
Total energy   -6.384 eV/atom
V   14.7 A^3/atom
Space group   P2_13, No. 198

Cell lengths 10.3805, 10.3805, 10.3805 Å; angles 90.00, 90.00, 90.00 degrees
Closest atoms and distances in Å follow each position.
Atoms (fractional coordinates):
Mn  0.3460  0.1540  0.8460  6 O 2.20-2.22
Mn  0.0851  0.4149  0.5851  6 O 2.17-2.20
Mn  0.1540  0.8460  0.3460  6 O 2.20-2.22
Mn  0.5851  0.0851  0.4149  6 O 2.17-2.20
Mn  0.8460  0.3460  0.1540  6 O 2.20-2.22
Mn  0.6540  0.6540  0.6540  6 O 2.20-2.22
Mn  0.9149  0.9149  0.9149  6 O 2.17-2.20
Mn  0.4149  0.5851  0.0851  6 O 2.17-2.20
O  0.3482  0.5028  0.9044  1 S 1.48
O  0.5264  0.0541  0.7889  1 S 1.49
O  0.9875  0.8067  0.7475  1 S 1.49
O  0.2889  0.9736  0.9459  1 S 1.49
O  0.3321  0.7578  0.4185  1 S 1.49
O  0.4459  0.2111  0.0264  1 S 1.49
O  0.9459  0.2889  0.9736  1 S 1.49
O  0.4972  0.4044  0.1518  1 S 1.48
O  0.7578  0.4185  0.3321  1 S 1.49
O  0.9044  0.3482  0.5028  1 S 1.48
O  0.5815  0.8321  0.7422  1 S 1.49
O  0.6679  0.2578  0.0815  1 S 1.49
O  0.2422  0.9185  0.1679  1 S 1.49
O  0.1933  0.2475  0.5125  1 S 1.49
O  0.0028  0.5956  0.6518  1 S 1.48
O  0.4736  0.5541  0.7111  1 S 1.49
O  0.9185  0.1679  0.2422  1 S 1.49
O  0.5541  0.7111  0.4736  1 S 1.49
O  0.9736  0.9459  0.2889  1 S 1.49
O  0.7422  0.5815  0.8321  1 S 1.49
O  0.2475  0.5125  0.1933  1 S 1.49
O  0.3067  0.7525  0.0125  1 S 1.49
O  0.8482  0.9972  0.0956  1 S 1.48
O  0.4875  0.6933  0.2525  1 S 1.49
O  0.4044  0.1518  0.4972  1 S 1.48
O  0.5125  0.1933  0.2475  1 S 1.49
O  0.5028  0.9044  0.3482  1 S 1.48
O  0.0956  0.8482  0.9972  1 S 1.48
O  0.2525  0.4875  0.6933  1 S 1.49
O  0.6518  0.0028  0.5956  1 S 1.48
O  0.7889  0.5264  0.0541  1 S 1.49
O  0.7525  0.0125  0.3067  1 S 1.49
O  0.7475  0.9875  0.8067  1 S 1.49
O  0.0815  0.6679  0.2578  1 S 1.49
O  0.0125  0.3067  0.7525  1 S 1.49
O  0.5956  0.6518  0.0028  1 S 1.48
O  0.2111  0.0264  0.4459  1 S 1.49
O  0.2578  0.0815  0.6679  1 S 1.49
O  0.9972  0.0956  0.8482  1 S 1.48
O  0.8067  0.7475  0.9875  1 S 1.49
O  0.0264  0.4459  0.2111  1 S 1.49
O  0.4185  0.3321  0.7578  1 S 1.49
O  0.1518  0.4972  0.4044  1 S 1.48
O  0.1679  0.2422  0.9185  1 S 1.49
O  0.6933  0.2525  0.4875  1 S 1.49
O  0.8321  0.7422  0.5815  1 S 1.49
O  0.0541  0.7889  0.5264  1 S 1.49
O  0.7111  0.4736  0.5541  1 S 1.49
S  0.5316  0.2681  0.1261  4 O 1.48-1.49
S  0.3739  0.4684  0.7681  4 O 1.48-1.49
S  0.2681  0.1261  0.5316  4 O 1.48-1.49
S  0.9684  0.7319  0.6261  4 O 1.48-1.49
S  0.8739  0.0316  0.2319  4 O 1.48-1.49
S  0.0316  0.2319  0.8739  4 O 1.48-1.49
S  0.1261  0.5316  0.2681  4 O 1.48-1.49
S  0.4684  0.7681  0.3739  4 O 1.48-1.49
S  0.6261  0.9684  0.7319  4 O 1.48-1.49
S  0.2319  0.8739  0.0316  4 O 1.48-1.49
S  0.7681  0.3739  0.4684  4 O 1.48-1.49
S  0.7319  0.6261  0.9684  4 O 1.48-1.49
Rb  0.2990  0.7990  0.7010  9 O 2.98-3.27
Rb  0.5661  0.9339  0.0661  12 O 3.02-3.33
Rb  0.2010  0.2010  0.2010  9 O 2.98-3.27
Rb  0.0661  0.5661  0.9339  12 O 3.02-3.33
Rb  0.7010  0.2990  0.7990  9 O 2.98-3.27
Rb  0.7990  0.7010  0.2990  9 O 2.98-3.27
Rb  0.4339  0.4339  0.4339  12 O 3.02-3.33
Rb  0.9339  0.0661  0.5661  12 O 3.02-3.33